TlInWF6: relaxed, PBE with a Hubbard U.

## Properties
- space group = P-31c (163)
- E (eV/atom) = -4.8334

```
data_TlInWF6
_chemical_formula_sum 'Tl2 In2 W2 F12'
_space_group_name_H-M_alt 'P 1'
_space_group_IT_number 1
_space_group_name_Hall 'P 1'
_cell_length_a 6.8330
_cell_length_b 6.8330
_cell_length_c 8.6467
_cell_angle_alpha 90.00
_cell_angle_beta 90.00
_cell_angle_gamma 120.00
loop_
_atom_site_label
_atom_site_type_symbol
_atom_site_fract_x
_atom_site_fract_y
_atom_site_fract_z
F1 F 0.4139 0.0877 0.1233
F2 F 0.9123 0.3262 0.1233
F3 F 0.5861 0.6738 0.6233
F4 F 0.5861 0.9123 0.8767
F5 F 0.0877 0.6738 0.8767
F6 F 0.6738 0.5861 0.1233
F7 F 0.3262 0.4139 0.8767
F8 F 0.9123 0.5861 0.3767
F9 F 0.4139 0.3262 0.3767
F10 F 0.6738 0.0877 0.3767
F11 F 0.0877 0.4139 0.6233
F12 F 0.3262 0.9123 0.6233
Tl1 Tl 0.6667 0.3333 0.7500
Tl2 Tl 0.3333 0.6667 0.2500
W1 W 0.3333 0.6667 0.7500
W2 W 0.6667 0.3333 0.2500
In1 In 0.0000 0.0000 0.0000
In2 In 0.0000 0.0000 0.5000
```